This record from Alexandria via LeMat-Bulk describes NbCu2Ag2 after structural relaxation. The functional is PBE.

abc: 7.483 7.483 2.809
angles: 90.00 90.00 90.00
Atoms (fractional coordinates):
Nb 0.000 0.000 0.000
Nb 0.500 0.500 0.000
Cu 0.119 0.381 0.000
Cu 0.381 0.881 0.000
Cu 0.619 0.119 0.000
Cu 0.881 0.619 0.000
Ag 0.178 0.678 0.500
Ag 0.322 0.178 0.500
Ag 0.678 0.822 0.500
Ag 0.822 0.322 0.500

Values from the calculation:
DFT formation energy in eV per formula unit: 1.50
Total magnetization in μB/atom: 0.000
Space group: No. 127